1.
Cs4TmPa3S12: relaxed, GGA-PBE.

Lattice parameters (Å, degrees): 10.6332 10.6332 10.6332 90.00 90.00 90.00
Space group Im-3m (No. 229)
Inequivalent atoms, fractional coordinates:
Cs  0.2500  0.2500  0.2500 [8 per cell]
Tm  0.0000  0.0000  0.0000 [2 per cell]
Pa  0.0000  0.0000  0.5000 [6 per cell]
S  0.0000  0.0000  0.2555 [12 per cell]
S  0.0000  0.2500  0.5000 [12 per cell]

2.
Cs2Tm2PaS6: relaxed, GGA-PBE.

Lattice parameters (Å, degrees): 6.9505 12.0475 8.5897 90.00 105.88 90.00
Space group C2/m (No. 12)
Inequivalent atoms, fractional coordinates:
Cs  0.0000  0.1676  0.0000 [4 per cell]
Tm  0.0000  0.3335  0.5000 [4 per cell]
Pa  0.0000  0.0000  0.5000 [2 per cell]
S  0.2257  0.1672  0.6761 [8 per cell]
S  0.2263  0.5000  0.6761 [4 per cell]

3.
CsTmPaS4: relaxed, GGA-PBE.

Lattice parameters (Å, degrees): 8.5264 8.7053 11.9917 90.00 90.00 90.00
Space group Imma (No. 74)
Inequivalent atoms, fractional coordinates:
Cs  0.0000  0.2500  0.1316 [4 per cell]
Tm  0.2500  0.2500  0.7500 [4 per cell]
Pa  0.0000  0.0000  0.5000 [4 per cell]
S  0.0000  0.0522  0.7259 [8 per cell]
S  0.2002  0.2500  0.5216 [8 per cell]

no.,raw formation energy (meV per atom)
1,-1495
2,-1809
3,-1618